(1)
Entry from the Alexandria database: crystalline PrPd6Pt6 at its relaxed geometry (PBE).

```
PrPd6Pt6
1.0
-0.2878 -1.7727 5.0269
2.9375 -6.3053 0.7789
5.5612 1.8756 3.8141
Pr Pd Pt
1 6 6
Cartesian
0.0000 0.0000 0.0000
5.4357 -3.5034 4.7443
2.7751 -2.6989 4.8756
4.6501 -0.9651 2.7602
3.8486 -3.4645 1.8329
1.6590 -1.4315 2.4244
6.5518 -4.7708 7.1955
1.4688 -3.1526 0.3895
1.3248 -4.0390 2.9029
2.7806 0.9378 1.9071
2.6367 0.0515 4.4205
3.3901 -5.3315 3.9825
4.8207 -0.8708 5.6374
```

Summary:
M_tot = 0.0 Bohr magnetons per cell
D(E_F) = 1.228 states/eV/atom
Formation enthalpy at 0 K = -0.31 eV/atom
Total DFT energy (no corrections) = -5.866 eV/atom

=====

(2)
Entry from the Alexandria database: crystalline PrPd4Pt at its relaxed geometry (PBE).

```
PrPd4Pt
1.0
4.2186 0.0000 0.0000
0.0000 6.9574 0.0000
0.0000 0.0000 7.6744
Pr Pd Pt
2 8 2
Cartesian
0.0000 4.5683 5.7558
0.0000 2.3892 1.9186
0.0000 0.0000 3.8372
0.0000 0.0000 0.0000
2.1093 6.7543 5.7558
2.1093 0.2031 1.9186
2.1093 4.8635 0.2831
2.1093 2.0939 7.3913
2.1093 4.8635 3.5541
2.1093 2.0939 4.1202
0.0000 1.7933 5.7558
0.0000 5.1642 1.9186
```

Summary:
Polymorph energy (0 for the lowest one) = 34 meV/atom
M_tot = 0.0 Bohr magnetons per cell
D(E_F) = 0.849 states/eV/atom
Formation enthalpy at 0 K = -0.41 eV/atom
Total DFT energy (no corrections) = -5.680 eV/atom

=====

(3)
Entry from the Alexandria database: crystalline Pr2Pd2Pt15 at its relaxed geometry (PBE).

```
Pr2Pd2Pt15
1.0
-4.3759 -1.5208 -5.2417
4.9293 -0.9058 -4.8804
0.4353 -6.9538 0.6261
Pr Pd Pt
2 2 15
Cartesian
0.3334 -3.1637 -3.2027
0.6552 -6.2166 -6.2932
0.1025 -0.9729 -0.9849
0.8861 -8.4074 -8.5110
-2.1880 -0.7604 -2.6208
0.2176 -3.4769 0.3131
2.4647 -0.4529 -2.4402
3.5409 -2.7742 -3.1792
-1.5012 -1.3308 -5.1300
-1.0511 -5.2753 -1.1867
2.0546 -1.0958 -4.9920
-2.8896 -3.1992 -3.4289
1.8236 -5.0853 -1.0750
2.8042 -5.3883 -3.6296
0.4324 -2.7100 -6.5223
-1.7831 -5.6915 -3.8077
-1.8155 -3.9920 -5.8663
0.5563 -6.6704 -2.9736
2.7718 -3.6888 -5.6882
```

Summary:
M_tot = 0.0 Bohr magnetons per cell
D(E_F) = 0.888 states/eV/atom
Formation enthalpy at 0 K = -0.45 eV/atom
Total DFT energy (no corrections) = -6.265 eV/atom

=====

(4)
Entry from the Alexandria database: crystalline PrPd3Pt at its relaxed geometry (PBE).

```
PrPd3Pt
1.0
-2.6466 2.3536 2.7721
1.5093 -4.0430 4.8737
5.0792 3.8260 1.6010
Pr Pd Pt
2 6 2
Cartesian
-0.0117 2.1648 1.7995
4.5222 0.8165 3.6244
2.3429 -1.8617 3.8176
3.6769 0.7999 6.4799
2.7717 3.2248 3.5569
1.7388 -0.2436 1.8669
4.8393 3.6452 1.5254
-0.3287 -0.6640 3.8985
2.8263 2.1289 0.8909
1.6842 0.8523 4.5330
```

Summary:
Polymorph energy (0 for the lowest one) = 88 meV/atom
M_tot = 0.0 Bohr magnetons per cell
D(E_F) = 1.236 states/eV/atom
Formation enthalpy at 0 K = -0.47 eV/atom
Total DFT energy (no corrections) = -5.753 eV/atom

=====

(5)
Entry from the Alexandria database: crystalline Pr2Pd5Pt at its relaxed geometry (PBE).

```
Pr2Pd5Pt
1.0
4.2268 0.0000 0.0000
0.0000 5.9627 0.0000
0.0000 0.0000 11.9317
Pr Pd Pt
4 10 2
Cartesian
2.1134 1.4959 7.4558
2.1134 4.4668 4.4760
2.1134 1.4854 1.4899
2.1134 4.4772 10.4418
0.0000 0.0000 0.0000
0.0000 2.9813 5.9659
0.0000 2.9890 8.9577
0.0000 2.9736 2.9740
0.0000 5.9550 2.9918
0.0000 0.0077 8.9399
2.1134 1.5023 10.4447
2.1134 4.4604 1.4871
2.1134 1.4791 4.4788
2.1134 4.4836 7.4529
0.0000 0.0000 5.9659
0.0000 2.9813 0.0000
```

Summary:
M_tot = 0.0 Bohr magnetons per cell
D(E_F) = 0.663 states/eV/atom
Formation enthalpy at 0 K = -0.76 eV/atom
Total DFT energy (no corrections) = -5.959 eV/atom

=====

(6)
Entry from the Alexandria database: crystalline PrPd2Pt at its relaxed geometry (PBE).

```
PrPd2Pt
1.0
5.2059 0.0000 0.0000
0.0000 5.4622 0.0000
0.0000 0.0000 12.8395
Pr Pd Pt
4 8 4
Cartesian
0.0000 1.3655 7.6470
2.6029 4.0966 1.2908
0.0000 4.0966 5.1926
2.6029 1.3655 11.5487
0.0000 0.0000 0.0000
2.6029 2.7311 6.4198
1.2947 4.0966 10.9155
3.9112 1.3655 1.9240
3.9112 4.0966 10.9155
1.2947 1.3655 1.9240
0.0000 2.7311 0.0000
2.6029 0.0000 6.4198
2.6029 4.0966 8.6702
2.6029 1.3655 4.1693
0.0000 1.3655 4.4954
0.0000 4.0966 8.3442
```

Summary:
Polymorph energy (0 for the lowest one) = 293 meV/atom
M_tot = 0.0 Bohr magnetons per cell
D(E_F) = 0.521 states/eV/atom
Formation enthalpy at 0 K = -0.48 eV/atom
Total DFT energy (no corrections) = -5.780 eV/atom